Here is a PBEsol-optimized structure of MgMnSiO5 from Alexandria via LeMat-Bulk. Energies are from meta-GGA SCAN.

Geometry as extended XYZ:
```
16
Lattice="5.170 -0.059 0.004 -1.378 4.983 0.004 -1.716 -2.229 6.206" Properties=species:S:1:pos:R:3 pbc="T T T"
Mg -0.705 3.578 1.556
Mg 2.781 -0.882 4.659
Mn 1.896 2.462 0.004
O -0.416 0.241 2.637
O -0.519 -1.455 5.740
O -0.043 2.712 3.907
O 2.119 -0.016 2.308
O 2.595 4.151 0.474
O 3.491 1.766 0.804
Si 3.537 0.311 1.556
O 0.899 2.342 1.556
Mn 1.038 1.348 3.107
O -1.415 0.930 5.411
Si -1.461 2.385 4.659
O 2.492 2.455 3.577
O 1.177 0.354 4.659
```

E: -171.4 eV/cell
formation energy from raw total energies: -2.66 eV per atom
SG: C2/c (15)
magnetic moment: 3.00 μB/f.u.